# BaCdH3 PBE optimized geometry
# E above lowest polymorph in eV/atom: 0.1519
# Theoretical density in g cm⁻³: 5.46
data_BaCdH3
_cell_length_a 4.251
_cell_length_b 4.251
_cell_length_c 4.251
_cell_angle_alpha 90.00
_cell_angle_beta 90.00
_cell_angle_gamma 90.00
_space_group_name_H-M_alt 'P m -3 m'
_space_group_IT_number 221
_space_group_name_Hall '-P 4 2 3'
loop_
_atom_site_label
_atom_site_fract_x
_atom_site_fract_y
_atom_site_fract_z
_atom_site_occupancy
Ba1 0.000 0.000 0.000 1
Cd1 0.500 0.500 0.500 1
H1 0.000 0.500 0.500 1